1.
# ScSnIN2 (PBE, relaxed)
# ρ, g cm⁻³: 4.93
# ΔE_f (raw), eV/atom: 0.561
# Relative energy among the computed polymorphs, meV per atom: 0
# DOS at the Fermi energy, states/eV/f.u.: 2.44
data_ScSnIN2
_chemical_formula_sum 'Sc1 Sn1 I1 N2'
_space_group_name_H-M_alt 'P 1'
_space_group_IT_number 1
_cell_length_a 4.312
_cell_length_b 4.312
_cell_length_c 5.773
_cell_angle_alpha 90.00
_cell_angle_beta 90.00
_cell_angle_gamma 90.00
loop_
_space_group_symop_operation_xyz
'x,y,z'
loop_
_atom_site_label
_atom_site_type_symbol
_atom_site_fract_x
_atom_site_fract_y
_atom_site_fract_z
_atom_site_occupancy
Sc1 Sc 0.000 0.000 0.000 1
Sn1 Sn 0.500 0.500 0.500 1
I1 I 0.000 0.000 0.500 1
N1 N 0.000 0.500 0.000 1
N2 N 0.500 0.000 0.000 1

---

2.
# Sm6Sn2Te (PBE, relaxed)
# ρ, g cm⁻³: 7.67
# ΔE_f (raw), eV/atom: -0.675
# DOS at the Fermi energy, states/eV/f.u.: 10.33
data_Sm6Sn2Te
_chemical_formula_sum 'Sm6 Sn2 Te1'
_space_group_name_H-M_alt 'P 1'
_space_group_IT_number 1
_cell_length_a 8.513
_cell_length_b 8.513
_cell_length_c 4.372
_cell_angle_alpha 90.00
_cell_angle_beta 90.00
_cell_angle_gamma 120.00
loop_
_space_group_symop_operation_xyz
'x,y,z'
loop_
_atom_site_label
_atom_site_type_symbol
_atom_site_fract_x
_atom_site_fract_y
_atom_site_fract_z
_atom_site_occupancy
Sm1 Sm 0.000 0.405 0.000 1
Sm2 Sm 0.000 0.733 0.500 1
Sm3 Sm 0.267 0.267 0.500 1
Sm4 Sm 0.405 0.000 0.000 1
Sm5 Sm 0.595 0.595 0.000 1
Sm6 Sm 0.733 0.000 0.500 1
Sn1 Sn 0.333 0.667 0.500 1
Sn2 Sn 0.667 0.333 0.500 1
Te1 Te 0.000 0.000 0.000 1

---

3.
# OsPt3Se (PBE, relaxed)
# ρ, g cm⁻³: 14.30
# ΔE_f (raw), eV/atom: 1.360
# Relative energy among the computed polymorphs, meV per atom: 0
# DOS at the Fermi energy, states/eV/f.u.: 5.50
data_OsPt3Se
_chemical_formula_sum 'Os1 Pt3 Se1'
_space_group_name_H-M_alt 'P 1'
_space_group_IT_number 1
_cell_length_a 4.629
_cell_length_b 4.629
_cell_length_c 4.629
_cell_angle_alpha 90.00
_cell_angle_beta 90.00
_cell_angle_gamma 90.00
loop_
_space_group_symop_operation_xyz
'x,y,z'
loop_
_atom_site_label
_atom_site_type_symbol
_atom_site_fract_x
_atom_site_fract_y
_atom_site_fract_z
_atom_site_occupancy
Os1 Os 0.000 0.000 0.000 1
Pt1 Pt 0.000 0.500 0.500 1
Pt2 Pt 0.500 0.000 0.500 1
Pt3 Pt 0.500 0.500 0.000 1
Se1 Se 0.500 0.500 0.500 1

---

4.
# CeAlNi4 (PBE, relaxed)
# ρ, g cm⁻³: 7.74
# DOS at the Fermi energy, states/eV/f.u.: 5.17
# E_form, meV per atom: -501
data_CeAlNi4
_chemical_formula_sum 'Ce1 Al1 Ni4'
_space_group_name_H-M_alt 'P 1'
_space_group_IT_number 1
_cell_length_a 4.886
_cell_length_b 4.886
_cell_length_c 4.082
_cell_angle_alpha 90.00
_cell_angle_beta 90.00
_cell_angle_gamma 117.70
loop_
_space_group_symop_operation_xyz
'x,y,z'
loop_
_atom_site_label
_atom_site_type_symbol
_atom_site_fract_x
_atom_site_fract_y
_atom_site_fract_z
_atom_site_occupancy
Ce1 Ce 0.000 0.000 0.000 1
Al1 Al 0.500 0.500 0.500 1
Ni1 Ni 0.000 0.500 0.500 1
Ni2 Ni 0.330 0.670 0.000 1
Ni3 Ni 0.500 0.000 0.500 1
Ni4 Ni 0.670 0.330 0.000 1

---

5.
# TiFe2SnBr (PBE, relaxed)
# ρ, g cm⁻³: 6.77
# ΔE_f (raw), eV/atom: 0.713
# DOS at the Fermi energy, states/eV/f.u.: 2.71
data_TiFe2SnBr
_chemical_formula_sum 'Ti1 Fe2 Sn1 Br1'
_space_group_name_H-M_alt 'P 1'
_space_group_IT_number 1
_cell_length_a 4.366
_cell_length_b 4.366
_cell_length_c 4.611
_cell_angle_alpha 90.00
_cell_angle_beta 90.00
_cell_angle_gamma 90.00
loop_
_space_group_symop_operation_xyz
'x,y,z'
loop_
_atom_site_label
_atom_site_type_symbol
_atom_site_fract_x
_atom_site_fract_y
_atom_site_fract_z
_atom_site_occupancy
Ti1 Ti 0.000 0.000 0.000 1
Fe1 Fe 0.000 0.500 0.500 1
Fe2 Fe 0.500 0.000 0.500 1
Sn1 Sn 0.500 0.500 0.000 1
Br1 Br 0.000 0.000 0.500 1

---

6.
# TaCuRu2 (PBE, relaxed)
# ρ, g cm⁻³: 12.58
# DOS at the Fermi energy, states/eV/f.u.: 7.11
# E_form, meV per atom: 202
data_TaCuRu2
_chemical_formula_sum 'Ta1 Cu1 Ru2'
_space_group_name_H-M_alt 'P 1'
_space_group_IT_number 1
_cell_length_a 4.369
_cell_length_b 4.369
_cell_length_c 4.369
_cell_angle_alpha 60.00
_cell_angle_beta 60.00
_cell_angle_gamma 60.00
loop_
_space_group_symop_operation_xyz
'x,y,z'
loop_
_atom_site_label
_atom_site_type_symbol
_atom_site_fract_x
_atom_site_fract_y
_atom_site_fract_z
_atom_site_occupancy
Ta1 Ta 0.000 0.000 0.000 1
Cu1 Cu 0.250 0.250 0.250 1
Ru1 Ru 0.500 0.500 0.500 1
Ru2 Ru 0.750 0.750 0.750 1